Entry 1:
The following is a DFT calculation (GGA-PBE) of a geometry-optimized Te2I3N2 structure.

## Properties
* density: 4.7 g/cm³
* raw formation energy: 0.69 eV per atom

extended XYZ file:
```
7
Lattice="5.0746 0.0000 0.0000 -1.5684 5.1106 0.0000 -1.3603 -0.7730 9.0565" Properties=species:S:1:pos:R:3 pbc="T T T"
Te -0.3408 1.6252 3.5642
Te 2.4868 2.7124 5.4923
I -0.7842 2.5553 0.0000
I 0.8575 -0.2973 6.5129
I 1.2885 4.6349 2.5437
N -0.0937 2.9086 2.0860
N 2.2397 1.4290 6.9705
```



Entry 2:
The following is a DFT calculation (GGA-PBE) of a geometry-optimized CaMnP2 structure.

## Properties
* formation energy: -41.73 kJ per mole of atoms
* density: 3.7 g/cm³
* polymorph energy (0 for the lowest one): 124.7 kJ/mol of formula units

extended XYZ file:
```
4
Lattice="-1.5660 1.7094 6.5660 1.5660 -1.7094 6.5660 1.5660 1.7094 -6.5660" Properties=species:S:1:pos:R:3 pbc="T T T"
Ca 0.0000 0.0000 0.0000
Mn 1.5660 0.0000 3.2109
P 0.0000 0.0000 4.9003
P 0.0000 1.7094 2.3385
```